[1]
A plane-wave DFT calculation with PBEsol was carried out for crystalline HgCNF2 at its relaxed geometry.

**Spin magnetization**: 0.000 μB/cell
**Final energy**: -4.71 eV per atom
**Mass density**: 7.936 Mg/m³

Cell: 2.5098 4.6967 4.6967 Å, 90.00 90.00 90.00°
With the nearest neighbours (Å) after each atom.
Element x y z (fractional)
N: 0.5000 0.0000 0.0000  2 C 1.25
C: 0.0000 0.0000 0.0000  2 N 1.25
F: 0.0000 0.0000 0.5000  2 C 2.35, 2 F 2.51
F: 0.0000 0.5000 0.0000  2 C 2.35, 2 F 2.51
Hg: 0.5000 0.5000 0.5000  2 Hg 2.51, 8 F 2.66



[2]
A plane-wave DFT calculation with PBEsol was carried out for crystalline SrNiOs at its relaxed geometry.

**Spin magnetization**: 0.001 μB/cell
**Final energy**: -5.71 eV per atom
**ΔE_f**: 1.03 eV/atom
**Mass density**: 10.970 Mg/m³
**ΔE to the lowest computed polymorph**: 0.000 eV/f.u.

Cell: 2.8694 2.8694 7.1443 Å, 90.00 90.00 120.00°
With the nearest neighbours (Å) after each atom.
Element x y z (fractional)
Os: 0.3333 0.6667 0.7054  3 Ni 2.49
Ni: 0.0000 0.0000 0.9652  3 Os 2.49
Sr: 0.6667 0.3333 0.3294  6 Sr 2.87, 3 Ni 3.09, 3 Os 3.16



[3]
A plane-wave DFT calculation with PBEsol was carried out for crystalline Li4Ti2Mn3O10 at its relaxed geometry.

**Spin magnetization**: 12.762 μB/cell
**Final energy**: -7.80 eV per atom
**Mass density**: 4.025 Mg/m³

Cell: 5.0950 5.1516 7.8289 Å, 71.43 73.32 77.82°
With the nearest neighbours (Å) after each atom.
Element x y z (fractional)
Mn: 0.3269 0.0161 0.8789  5 O 1.92-2.07
Ti: 0.0864 0.9531 0.3212  4 O 1.85-1.98
Li: 0.7594 0.4820 0.3977  5 O 2.01-2.15
Mn: 0.6731 0.9839 0.1211  5 O 1.92-2.07
O: 0.5811 0.2697 0.6636  1 Ti 1.85, 3 Li 1.96-2.06
O: 0.8874 0.7783 0.5538  2 Ti 1.85-1.98, 2 Li 1.99-2.06
O: 0.9978 0.2513 0.8263  1 Mn 1.92, 1 Ti 1.97, 1 Li 2.11
O: 0.4189 0.7303 0.3364  1 Ti 1.85, 3 Li 1.96-2.06
Mn: 0.0000 0.5000 0.0000  6 O 2.01-2.15
Li: 0.6227 0.5602 0.7614  4 O 1.96-2.12
O: 0.7746 0.2412 0.2144  2 Mn 1.92-2.01, 1 Li 2.05, 1 Ti 2.10
Li: 0.3773 0.4398 0.2386  4 O 1.96-2.12
O: 0.0022 0.7487 0.1737  1 Mn 1.92, 1 Ti 1.97, 1 Li 2.11
O: 0.6669 0.7909 0.9305  3 Mn 1.94-2.09, 1 Li 2.12
Ti: 0.9136 0.0469 0.6788  4 O 1.85-1.98
Li: 0.2406 0.5180 0.6023  5 O 2.01-2.15
O: 0.3332 0.2091 0.0695  3 Mn 1.94-2.09, 1 Li 2.12
O: 0.2254 0.7588 0.7856  2 Mn 1.92-2.01, 1 Li 2.05, 1 Ti 2.10
O: 0.1126 0.2217 0.4462  2 Ti 1.85-1.98, 2 Li 1.99-2.06